# GGA-PBE ThPdRuPb, relaxed
# ρ ... 12.6 g/cm3
# M_tot ... 0.000 μB per formula unit
# Total DFT energy (no corrections) ... -26.79 eV/f.u.
# Crystal system ... cubic
data_ThPdRuPb
_space_group_name_H-M_alt 'P 1'
_space_group_IT_number 1
_space_group_name_Hall 'P 1'
_cell_length_a 6.9791
_cell_length_b 6.9791
_cell_length_c 6.9791
_cell_angle_alpha 90.00
_cell_angle_beta 90.00
_cell_angle_gamma 90.00
loop_
_atom_site_label
_atom_site_fract_x
_atom_site_fract_y
_atom_site_fract_z
_atom_site_occupancy
Th1 0.0000 0.0000 0.0000 1
Th2 0.0000 0.5000 0.5000 1
Th3 0.5000 0.0000 0.5000 1
Th4 0.5000 0.5000 0.0000 1
Pd1 0.2500 0.2500 0.7500 1
Pd2 0.2500 0.7500 0.2500 1
Pd3 0.7500 0.2500 0.2500 1
Pd4 0.7500 0.7500 0.7500 1
Ru1 0.2500 0.2500 0.2500 1
Ru2 0.2500 0.7500 0.7500 1
Ru3 0.7500 0.2500 0.7500 1
Ru4 0.7500 0.7500 0.2500 1
Pb1 0.0000 0.0000 0.5000 1
Pb2 0.0000 0.5000 0.0000 1
Pb3 0.5000 0.0000 0.0000 1
Pb4 0.5000 0.5000 0.5000 1